No. 1
## Ce3PmSn5 (PBE-GGA)

Data for a geometry-optimized Ce3PmSn5 structure.

The space group is P6_3/mcm (No. 193) and the conventional cell measures 9.4911, 9.4911 and 6.4960 Å, with angles of 90.00, 90.00 and 120.00 degrees. The distinct sites, in fractional coordinates, are Ce at (0.0000, 0.3813, 0.2500), Pm at (0.0000, 0.0000, 0.0000), Sn at (0.0000, 0.2894, 0.7500) and Sn at (0.3333, 0.6667, 0.0000).

For the total magnetization, the calculation gives 2.80 μB per cell. The density of states at the Fermi level is 32.41 states/eV per cell. The formation energy from the elements comes out at -596 meV/atom.



No. 2
## LiThMgPb (PBE-GGA)

Data for a geometry-optimized LiThMgPb structure.

The space group is F-43m (No. 216) and the conventional cell measures 7.515, 7.515 and 7.515 Å, with angles of 90.00, 90.00 and 90.00 degrees. The distinct sites, in fractional coordinates, are Li at (0.000, 0.000, 0.000), Th at (0.000, 0.000, 0.500), Mg at (0.250, 0.250, 0.250) and Pb at (0.250, 0.250, 0.750).

For the total magnetization, the calculation gives 0.00 μB per cell. The density of states at the Fermi level is 14.05 states/eV per cell. The formation energy from the elements comes out at -17 meV/atom.



No. 3
## Y6TlZn5 (PBE-GGA)

Data for a geometry-optimized Y6TlZn5 structure.

The space group is Cmmm (No. 65) and the conventional cell measures 5.104, 15.376 and 7.271 Å, with angles of 90.00, 90.00 and 90.00 degrees. The distinct sites, in fractional coordinates, are Y at (0.000, 0.000, 0.240), Y at (0.000, 0.329, 0.244), Tl at (0.000, 0.500, 0.500), Zn at (0.000, 0.166, 0.000), Zn at (0.000, 0.170, 0.500) and Zn at (0.000, 0.500, 0.000).

For the total magnetization, the calculation gives 0.00 μB per cell. The density of states at the Fermi level is 24.69 states/eV per cell. The formation energy from the elements comes out at -360 meV/atom.



No. 4
## CSe2 (PBE-GGA)

Data for a geometry-optimized CSe2 structure.

The space group is Fd-3m (No. 227, origin choice 2) and the conventional cell measures 7.839, 7.839 and 7.839 Å, with angles of 90.00, 90.00 and 90.00 degrees. The distinct sites, in fractional coordinates, are C at (0.125, 0.125, 0.125) and Se at (0.000, 0.000, 0.500).

For the total magnetization, the calculation gives 10.02 μB per cell. The density of states at the Fermi level is 26.09 states/eV per cell. As for the total energy: -67.53 eV for the cell shown.



No. 5
## LiCaBe2 (PBE-GGA)

Data for a geometry-optimized LiCaBe2 structure.

The space group is P4mm (No. 99) and the conventional cell measures 2.948, 2.948 and 7.612 Å, with angles of 90.00, 90.00 and 90.00 degrees. The distinct sites, in fractional coordinates, are Li at (0.000, 0.000, 0.000), Ca at (0.500, 0.500, 0.631), Be at (0.000, 0.000, 0.343) and Be at (0.500, 0.500, 0.224).

For the total magnetization, the calculation gives 0.00 μB per cell. The density of states at the Fermi level is 1.68 states/eV per cell. The formation energy from the elements comes out at 358 meV/atom.



No. 6
## NaPd2Ru2 (PBE-GGA)

Data for a geometry-optimized NaPd2Ru2 structure.

The space group is P4/mbm (No. 127) and the conventional cell measures 7.912, 7.912 and 2.675 Å, with angles of 90.00, 90.00 and 90.00 degrees. The distinct sites, in fractional coordinates, are Na at (0.000, 0.000, 0.000), Pd at (0.187, 0.313, 0.500) and Ru at (0.108, 0.608, 0.000).

For the total magnetization, the calculation gives 0.00 μB per cell. The density of states at the Fermi level is 9.26 states/eV per cell. The formation energy from the elements comes out at 302 meV/atom.